Density functional theory data (GGA-PBE) for a relaxed structure of Rb3Tb2TiTe6.

Cell lengths 7.685, 7.685, 8.902 Å; angles 98.30, 98.30, 120.01 degrees
Fractional coordinates of all 12 atoms:
Te  0.936  0.622  0.807
Te  0.064  0.378  0.193
Rb  0.500  0.500  0.500
Te  0.378  0.064  0.193
Te  0.752  0.752  0.195
Ti  0.000  0.000  0.000
Tb  0.334  0.666  0.000
Te  0.622  0.936  0.807
Te  0.248  0.248  0.805
Rb  0.827  0.173  0.500
Tb  0.666  0.334  0.000
Rb  0.173  0.827  0.500

## Properties
The value obtained for the total moment is 1.00 μB/cell. The raw formation energy is -1353 kJ/mol of formula units. As for the total energy: -4.411 eV per atom.